Below is crystalline KAgTe2 at its relaxed geometry, with properties calculated at the GGA-PBE level.

a b c (Å): 3.7423 3.7423 9.6866
angles (deg): 90.00 90.00 90.00
Element x y z (fractional)
Te  0.0000  0.0000  0.0077
Te  0.5000  0.5000  0.4214
K  0.5000  0.5000  0.7743
Ag  0.0000  0.0000  0.2966

## Properties
Size of the total moment in μB/f.u.: 0.00
ΔE_f (raw) in meV/atom: -228.1
Space group: P4mm (99)